Record 1
{"formula": "La2CuN2F2", "functional": "meta-GGA SCAN", "state": "PBEsol geometry", "raw_formation_energy_ev_per_atom": -2.255, "n_ef_per_ev_cell": 0.50, "space_group": "I4/mmm (139)", "lattice_angstrom": [[-1.983, 1.983, 6.442], [1.983, -1.983, 6.442], [1.983, 1.983, -6.442]], "species": ["La", "La", "Cu", "N", "N", "F", "F"], "frac_coords": [[0.124, 0.124, 0.000], [0.876, 0.876, 0.000], [0.500, 0.500, 0.000], [0.000, 0.500, 0.500], [0.500, 0.000, 0.500], [0.250, 0.750, 0.500], [0.750, 0.250, 0.500]]}

=====

Record 2
{"formula": "LaCuOF2", "functional": "meta-GGA SCAN", "state": "PBEsol geometry", "raw_formation_energy_ev_per_atom": -2.438, "n_ef_per_ev_cell": 1.88, "space_group": "P4/mmm (123)", "lattice_angstrom": [[4.004, 0.000, 0.000], [0.000, 4.004, 0.000], [0.000, 0.000, 3.933]], "species": ["La", "Cu", "O", "F", "F"], "frac_coords": [[0.000, 0.000, 0.000], [0.500, 0.500, 0.500], [0.500, 0.500, 0.000], [0.000, 0.500, 0.500], [0.500, 0.000, 0.500]]}

=====

Record 3
{"formula": "La2TiCuF", "functional": "meta-GGA SCAN", "state": "PBEsol geometry", "raw_formation_energy_ev_per_atom": -0.765, "n_ef_per_ev_cell": 4.48, "space_group": "P4/mmm (123)", "lattice_angstrom": [[5.091, 0.000, 0.000], [0.000, 5.091, 0.000], [0.000, 0.000, 3.990]], "species": ["La", "La", "Ti", "Cu", "F"], "frac_coords": [[0.000, 0.500, 0.000], [0.500, 0.000, 0.000], [0.000, 0.000, 0.500], [0.500, 0.500, 0.500], [0.000, 0.000, 0.000]]}

=====

Record 4
{"formula": "LaYCu2F", "functional": "meta-GGA SCAN", "state": "PBEsol geometry", "raw_formation_energy_ev_per_atom": -0.649, "n_ef_per_ev_cell": 3.64, "space_group": "P4/mmm (123)", "lattice_angstrom": [[5.103, 0.000, 0.000], [0.000, 5.103, 0.000], [0.000, 0.000, 4.131]], "species": ["La", "Y", "Cu", "Cu", "F"], "frac_coords": [[0.000, 0.000, 0.000], [0.500, 0.500, 0.000], [0.000, 0.500, 0.500], [0.500, 0.000, 0.500], [0.500, 0.500, 0.500]]}

=====

Record 5
{"formula": "LiCu2F7", "functional": "meta-GGA SCAN", "state": "PBEsol geometry", "raw_formation_energy_ev_per_atom": -1.927, "space_group": "Cc (9)", "lattice_angstrom": [[6.070, -2.448, 0.000], [6.070, 2.448, 0.000], [-0.480, 0.000, 7.071]], "species": ["Li", "Li", "Cu", "Cu", "Cu", "Cu", "F", "F", "F", "F", "F", "F", "F", "F", "F", "F", "F", "F", "F", "F"], "frac_coords": [[0.002, 0.998, 0.500], [0.998, 0.002, 0.000], [0.300, 0.308, 0.402], [0.308, 0.300, 0.902], [0.583, 0.602, 0.331], [0.602, 0.583, 0.831], [0.053, 0.678, 0.497], [0.169, 0.436, 0.150], [0.199, 0.851, 0.248], [0.294, 0.607, 0.871], [0.349, 0.969, 0.922], [0.436, 0.169, 0.650], [0.445, 0.734, 0.584], [0.541, 0.924, 0.314], [0.607, 0.294, 0.371], [0.678, 0.053, 0.997], [0.734, 0.445, 0.084], [0.851, 0.199, 0.748], [0.924, 0.541, 0.814], [0.969, 0.349, 0.422]]}

=====

Record 6
{"formula": "Li2CuF5", "functional": "meta-GGA SCAN", "state": "PBEsol geometry", "raw_formation_energy_ev_per_atom": -2.403, "space_group": "P2_1/c (14)", "lattice_angstrom": [[7.362, 0.000, 0.000], [0.000, 4.949, 0.000], [-3.455, 0.000, 9.091]], "species": ["Li", "Li", "Li", "Li", "Li", "Li", "Li", "Li", "Cu", "Cu", "Cu", "Cu", "F", "F", "F", "F", "F", "F", "F", "F", "F", "F", "F", "F", "F", "F", "F", "F", "F", "F", "F", "F"], "frac_coords": [[0.068, 0.000, 0.367], [0.068, 0.500, 0.867], [0.386, 0.003, 0.632], [0.386, 0.497, 0.132], [0.614, 0.503, 0.868], [0.614, 0.997, 0.368], [0.932, 0.000, 0.633], [0.932, 0.500, 0.133], [0.000, 0.000, 0.000], [0.000, 0.500, 0.500], [0.500, 0.000, 0.000], [0.500, 0.500, 0.500], [0.037, 0.651, 0.686], [0.037, 0.849, 0.186], [0.140, 0.179, 0.581], [0.140, 0.321, 0.081], [0.225, 0.698, 0.498], [0.225, 0.802, 0.998], [0.392, 0.195, 0.412], [0.392, 0.305, 0.912], [0.466, 0.654, 0.326], [0.466, 0.846, 0.826], [0.534, 0.154, 0.174], [0.534, 0.346, 0.674], [0.608, 0.695, 0.088], [0.608, 0.805, 0.588], [0.775, 0.198, 0.002], [0.775, 0.302, 0.502], [0.860, 0.679, 0.919], [0.860, 0.821, 0.419], [0.963, 0.151, 0.814], [0.963, 0.349, 0.314]]}

=====

Record 7
{"formula": "LiCu3F", "functional": "meta-GGA SCAN", "state": "PBEsol geometry", "raw_formation_energy_ev_per_atom": 0.645, "n_ef_per_ev_cell": 1.08, "space_group": "Pm-3m (221)", "lattice_angstrom": [[4.068, 0.000, 0.000], [0.000, 4.068, 0.000], [0.000, 0.000, 4.068]], "species": ["Li", "Cu", "Cu", "Cu", "F"], "frac_coords": [[0.000, 0.000, 0.000], [0.000, 0.000, 0.500], [0.000, 0.500, 0.000], [0.500, 0.000, 0.000], [0.500, 0.500, 0.500]]}

=====

Record 8
{"formula": "LiCu2F5", "functional": "meta-GGA SCAN", "state": "PBEsol geometry", "raw_formation_energy_ev_per_atom": -2.031, "n_ef_per_ev_cell": 0.00, "space_group": "Pnma (62)", "lattice_angstrom": [[12.847, 0.000, 0.000], [0.000, 10.026, 0.000], [0.000, 0.000, 3.059]], "species": ["Li", "Li", "Li", "Li", "Cu", "Cu", "Cu", "Cu", "Cu", "Cu", "Cu", "Cu", "F", "F", "F", "F", "F", "F", "F", "F", "F", "F", "F", "F", "F", "F", "F", "F", "F", "F", "F", "F"], "frac_coords": [[0.239, 0.250, 0.116], [0.261, 0.750, 0.616], [0.739, 0.250, 0.384], [0.761, 0.750, 0.884], [0.078, 0.090, 0.680], [0.078, 0.410, 0.680], [0.422, 0.590, 0.180], [0.422, 0.910, 0.180], [0.578, 0.090, 0.820], [0.578, 0.410, 0.820], [0.922, 0.590, 0.320], [0.922, 0.910, 0.320], [0.067, 0.250, 0.043], [0.069, 0.560, 0.282], [0.069, 0.940, 0.282], [0.217, 0.124, 0.611], [0.217, 0.376, 0.611], [0.283, 0.624, 0.111], [0.283, 0.876, 0.111], [0.431, 0.060, 0.782], [0.431, 0.440, 0.782], [0.433, 0.750, 0.543], [0.567, 0.250, 0.457], [0.569, 0.560, 0.218], [0.569, 0.940, 0.218], [0.717, 0.124, 0.889], [0.717, 0.376, 0.889], [0.783, 0.624, 0.389], [0.783, 0.876, 0.389], [0.931, 0.060, 0.718], [0.931, 0.440, 0.718], [0.933, 0.750, 0.957]]}